## La2NiAs3Pd4 (PBE)

Data for La2NiAs3Pd4 after structural relaxation.

a = 4.3650 Å, b = 4.3650 Å, c = 10.1489 Å
α = 90.00°, β = 90.00°, γ = 90.00°
Fractional positions:
La1 0.5000 0.0000 0.2547
La2 0.0000 0.5000 0.7453
Ni1 0.5000 0.5000 0.5000
As1 0.0000 0.0000 0.5000
As2 0.5000 0.0000 0.8643
As3 0.0000 0.5000 0.1357
Pd1 0.5000 0.5000 0.0000
Pd2 0.0000 0.0000 0.0000
Pd3 0.5000 0.0000 0.6209
Pd4 0.0000 0.5000 0.3791

Properties
Energy relative to the elements in eV per atom: -0.826
Magnetic moment in μB per formula unit: 0.00
Fermi-level density of states in states/eV per cell: 8.53
Space group: P-4m2, No. 115
Electronic total energy in eV per cell: -58.62